RbSmAg2I6 | PBE | relaxed

The uncorrected formation energy is -0.93 eV per atom. For the magnetization, the calculation gives 0.000 μB per atom. As for the density of states at the Fermi level: 0.00 states/eV per cell.

The structure belongs to space group P-1 (No. 2); the cell edges are 8.081, 8.082 and 9.731 Å and the angles 90.02°, 114.49° and 119.97°. Symmetry generates all atoms from Rb at (0.000, 0.000, 0.000), Sm at (0.000, 0.500, 0.500), Ag at (0.456, 0.227, 0.683), I at (0.146, 0.262, 0.714), I at (0.170, 0.433, 0.286) and I at (0.451, 0.883, 0.714).